The following is a PBE calculation of crystalline Na2ZnSn at its relaxed geometry, from Alexandria.

Unit cell a=8.5827 b=8.5827 c=5.7930 alpha=90.00 beta=90.00 gamma=90.00
Space group I-42d (No. 122)
Symmetry-distinct sites (fractional):
Na 0.2257 0.2500 0.1250 [8 per cell]
Zn 0.0000 0.0000 0.0000 [4 per cell]
Sn 0.0000 0.0000 0.5000 [4 per cell]

* magnetic moment: 0.000 μB/atom
* DOS(E_F): 0.366 states/eV per atom
* ΔE_f: 0.097 eV/atom
* volume: 426.7 Å³ per cell